No. 1
# AcPr2Zn | Alexandria via LeMat-Bulk | PBE | optimized geometry
# volume	408	Å³ per cell
# energy above the lowest structure with this stoichiometry	0.260	eV/atom
# formation enthalpy at 0 K	0.122	eV per atom
data_AcPr2Zn
_chemical_formula_sum 'Ac3 Pr6 Zn3'
_cell_length_a 5.2092
_cell_length_b 5.2092
_cell_length_c 17.3781
_cell_angle_alpha 90.00
_cell_angle_beta 90.00
_cell_angle_gamma 120.00
_symmetry_space_group_name_H-M 'R -3 m'
_symmetry_Int_Tables_number 166
_symmetry_space_group_name_Hall '-R 3 2"'
loop_
_atom_site_label
_atom_site_fract_x
_atom_site_fract_y
_atom_site_fract_z
Ac1 0.0000 0.0000 0.0000
Pr1 0.0000 0.0000 0.2233
Zn1 0.0000 0.0000 0.5000

---

No. 2
# AcLaTb2Pr5 | Alexandria via LeMat-Bulk | PBE | optimized geometry
# volume	1356	Å³ per cell
# formation enthalpy at 0 K	0.252	eV per atom
data_AcLaTb2Pr5
_chemical_formula_sum 'Ac4 La4 Tb8 Pr20'
_cell_length_a 8.0922
_cell_length_b 8.0922
_cell_length_c 20.7052
_cell_angle_alpha 90.00
_cell_angle_beta 90.00
_cell_angle_gamma 90.00
_symmetry_space_group_name_H-M 'I 4/m c m'
_symmetry_Int_Tables_number 140
_symmetry_space_group_name_Hall '-I 4 2c'
loop_
_atom_site_label
_atom_site_fract_x
_atom_site_fract_y
_atom_site_fract_z
Ac1 0.0000 0.5000 0.2500
La1 0.0000 0.0000 0.2500
Tb1 0.1285 0.3715 0.0000
Pr1 0.0000 0.0000 0.0000
Pr2 0.2015 0.2985 0.3754

---

No. 3
# Th4Bi3Sb | Alexandria via LeMat-Bulk | PBE | optimized geometry
# volume	542	Å³ per cell
# energy relative to the elements, uncorrected	-0.640	eV/atom
# energy above the lowest structure with this stoichiometry	0.007	eV/atom
data_Th4Bi3Sb
_chemical_formula_sum 'Th8 Bi6 Sb2'
_cell_length_a 6.4643
_cell_length_b 6.4643
_cell_length_c 12.9600
_cell_angle_alpha 90.00
_cell_angle_beta 90.00
_cell_angle_gamma 90.00
_symmetry_space_group_name_H-M 'I 4/m m m'
_symmetry_Int_Tables_number 139
_symmetry_space_group_name_Hall '-I 4 2'
loop_
_atom_site_label
_atom_site_fract_x
_atom_site_fract_y
_atom_site_fract_z
Th1 0.0000 0.0000 0.2446
Th2 0.0000 0.5000 0.0000
Bi1 0.0000 0.0000 0.5000
Bi2 0.0000 0.5000 0.2500
Sb1 0.0000 0.0000 0.0000

---

No. 4
# Er4CuNiRu2 | Alexandria via LeMat-Bulk | PBE | optimized geometry
# volume	463	Å³ per cell
# formation enthalpy at 0 K	-0.421	eV per atom
data_Er4CuNiRu2
_chemical_formula_sum 'Er12 Cu3 Ni3 Ru6'
_cell_length_a 4.7769
_cell_length_b 4.7769
_cell_length_c 23.4385
_cell_angle_alpha 90.00
_cell_angle_beta 90.00
_cell_angle_gamma 120.00
_symmetry_space_group_name_H-M 'R -3 m'
_symmetry_Int_Tables_number 166
_symmetry_space_group_name_Hall '-R 3 2"'
loop_
_atom_site_label
_atom_site_fract_x
_atom_site_fract_y
_atom_site_fract_z
Er1 0.0000 0.0000 0.1237
Er2 0.0000 0.0000 0.3739
Cu1 0.0000 0.0000 0.5000
Ni1 0.0000 0.0000 0.0000
Ru1 0.0000 0.0000 0.2498

---

No. 5
# ScCo2Rh | Alexandria via LeMat-Bulk | PBE | optimized geometry
# volume	112	Å³ per cell
# formation enthalpy at 0 K	-0.155	eV per atom
data_ScCo2Rh
_chemical_formula_sum 'Sc2 Co4 Rh2'
_cell_length_a 4.0204
_cell_length_b 2.8314
_cell_length_c 9.8808
_cell_angle_alpha 90.00
_cell_angle_beta 90.00
_cell_angle_gamma 90.00
_symmetry_space_group_name_H-M 'A m m 2'
_symmetry_Int_Tables_number 38
loop_
_symmetry_equiv_pos_as_xyz
'x,y,z'
'-x,-y,z'
'-x,y,z'
'x,-y,z'
'x,y+1/2,z+1/2'
'-x,-y+1/2,z+1/2'
'-x,y+1/2,z+1/2'
'x,-y+1/2,z+1/2'
loop_
_atom_site_label
_atom_site_fract_x
_atom_site_fract_y
_atom_site_fract_z
Sc1 0.0000 0.0000 0.0000
Co1 0.0000 0.0000 0.7373
Co2 0.5000 0.0000 0.6230
Rh1 0.5000 0.0000 0.3465

---

No. 6
# Tc2AgMo | Alexandria via LeMat-Bulk | PBE | optimized geometry
# volume	125	Å³ per cell
# energy above the lowest structure with this stoichiometry	0.146	eV/atom
# formation enthalpy at 0 K	0.416	eV per atom
data_Tc2AgMo
_chemical_formula_sum 'Tc4 Ag2 Mo2'
_cell_length_a 9.4271
_cell_length_b 2.8205
_cell_length_c 4.8039
_cell_angle_alpha 90.00
_cell_angle_beta 101.53
_cell_angle_gamma 90.00
_symmetry_space_group_name_H-M 'C 1 m 1'
_symmetry_Int_Tables_number 8
loop_
_symmetry_equiv_pos_as_xyz
'x,y,z'
'x,-y,z'
'x+1/2,y+1/2,z'
'x+1/2,-y+1/2,z'
loop_
_atom_site_label
_atom_site_fract_x
_atom_site_fract_y
_atom_site_fract_z
Tc1 0.0000 0.0000 0.0000
Tc2 0.2362 0.5000 0.2120
Ag1 0.2423 0.0000 0.7194
Mo1 0.4836 0.0000 0.4503

---

No. 7
# Cs2CePdSe4 | Alexandria via LeMat-Bulk | PBE | optimized geometry
# volume	2736	Å³ per cell
# energy relative to the elements, uncorrected	-0.973	eV/atom
data_Cs2CePdSe4
_chemical_formula_sum 'Cs16 Ce8 Pd8 Se32'
_cell_length_a 6.6152
_cell_length_b 16.1254
_cell_length_c 25.6458
_cell_angle_alpha 90.00
_cell_angle_beta 90.00
_cell_angle_gamma 90.00
_symmetry_space_group_name_H-M 'F d d d'
_symmetry_Int_Tables_number 70
loop_
_symmetry_equiv_pos_as_xyz
'x,y,z'
'-x,-y,-z'
'-x+1/4,-y+1/4,z'
'x+1/4,y+1/4,-z'
'x,-y+1/4,-z+1/4'
'-x,y+1/4,z+1/4'
'-x+1/4,y,-z+1/4'
'x+1/4,-y,z+1/4'
'x,y+1/2,z+1/2'
'-x,-y+1/2,-z+1/2'
'-x+1/4,-y+3/4,z+1/2'
'x+1/4,y+3/4,-z+1/2'
'x,-y+3/4,-z+3/4'
'-x,y+3/4,z+3/4'
'-x+1/4,y+1/2,-z+3/4'
'x+1/4,-y+1/2,z+3/4'
'x+1/2,y,z+1/2'
'-x+1/2,-y,-z+1/2'
'-x+3/4,-y+1/4,z+1/2'
'x+3/4,y+1/4,-z+1/2'
'x+1/2,-y+1/4,-z+3/4'
'-x+1/2,y+1/4,z+3/4'
'-x+3/4,y,-z+3/4'
'x+3/4,-y,z+3/4'
'x+1/2,y+1/2,z'
'-x+1/2,-y+1/2,-z'
'-x+3/4,-y+3/4,z'
'x+3/4,y+3/4,-z'
'x+1/2,-y+3/4,-z+1/4'
'-x+1/2,y+3/4,z+1/4'
'-x+3/4,y+1/2,-z+1/4'
'x+3/4,-y+1/2,z+1/4'
loop_
_atom_site_label
_atom_site_fract_x
_atom_site_fract_y
_atom_site_fract_z
Cs1 0.1250 0.1250 0.3045
Ce1 0.1250 0.1250 0.1250
Pd1 0.1250 0.1250 0.6250
Se1 0.0985 0.2663 0.8357

---

No. 8
# SrAcAgBr6 | Alexandria via LeMat-Bulk | PBE | optimized geometry
# volume	688	Å³ per cell
# energy relative to the elements, uncorrected	-1.644	eV/atom
data_SrAcAgBr6
_chemical_formula_sum 'Sr2 Ac2 Ag2 Br12'
_cell_length_a 7.1232
_cell_length_b 7.1232
_cell_length_c 13.5679
_cell_angle_alpha 90.00
_cell_angle_beta 90.00
_cell_angle_gamma 90.00
_symmetry_space_group_name_H-M 'P 42 n m'
_symmetry_Int_Tables_number 102
loop_
_symmetry_equiv_pos_as_xyz
'x,y,z'
'-y+1/2,x+1/2,z+1/2'
'-x,-y,z'
'y+1/2,-x+1/2,z+1/2'
'-x+1/2,y+1/2,z+1/2'
'y,x,z'
'x+1/2,-y+1/2,z+1/2'
'-y,-x,z'
loop_
_atom_site_label
_atom_site_fract_x
_atom_site_fract_y
_atom_site_fract_z
Sr1 0.0000 0.0000 0.0000
Ac1 0.0000 0.0000 0.3361
Ag1 0.0000 0.0000 0.6680
Br1 0.1946 0.1946 0.5091
Br2 0.1959 0.1959 0.8266
Br3 0.2017 0.2017 0.1698

---

no.,uncorrected energy (eV per atom)
1,-3.613
2,-4.436
3,-6.320
4,-6.257
5,-7.129
6,-8.188
7,-4.320
8,-3.719